Entry 1:
Compound: Cs2YRuF6
Source: Alexandria
Functional: GGA-PBE
Structure: optimized geometry

Summary:
uncorrected formation energy = -2601 meV/atom
calculated volume = 20.37 A^3/atom
DOS at the Fermi energy = 21.46 states/eV per cell
energy = -5.469 eV/atom
crystal system = tetragonal

Cell: 6.700 6.700 9.077 Å, 90.00 90.00 90.00°
Space group I4/mmm (No. 139)
Asymmetric unit:
Cs 0.000 0.500 0.250 [4 per cell]
Y 0.000 0.000 0.000 [2 per cell]
Ru 0.000 0.000 0.500 [2 per cell]
F 0.000 0.000 0.243 [4 per cell]
F 0.231 0.231 0.000 [8 per cell]



Entry 2:
Compound: CsZnRuF6
Source: Alexandria
Functional: GGA-PBE
Structure: optimized geometry

Summary:
uncorrected formation energy = -2145 meV/atom
calculated volume = 16.82 A^3/atom
DOS at the Fermi energy = 18.10 states/eV per cell
energy = -4.659 eV/atom
crystal system = orthorhombic

Cell: 7.472 7.534 10.756 Å, 90.00 90.00 90.00°
Space group Imma (No. 74)
Asymmetric unit:
Cs 0.000 0.250 0.114 [4 per cell]
Zn 0.250 0.250 0.750 [4 per cell]
Ru 0.000 0.000 0.500 [4 per cell]
F 0.000 0.250 0.428 [4 per cell]
F 0.000 0.250 0.816 [4 per cell]
F 0.198 0.047 0.623 [16 per cell]



Entry 3:
Compound: Cs2SF6
Source: Alexandria
Functional: GGA-PBE
Structure: optimized geometry

Summary:
uncorrected formation energy = -2146 meV/atom
calculated volume = 21.34 A^3/atom
DOS at the Fermi energy = 0.00 states/eV per cell
ΔE to the lowest computed polymorph = 0.00 kcal/mol of atoms
energy = -4.042 eV/atom
crystal system = cubic

Cell: 9.159 9.159 9.159 Å, 90.00 90.00 90.00°
Space group Fm-3m (No. 225)
Asymmetric unit:
Cs 0.250 0.250 0.250 [8 per cell]
S 0.000 0.000 0.000 [4 per cell]
F 0.000 0.000 0.205 [24 per cell]



Entry 4:
Compound: Cs2SF7
Source: Alexandria
Functional: GGA-PBE
Structure: optimized geometry

Summary:
uncorrected formation energy = -1951 meV/atom
calculated volume = 20.68 A^3/atom
DOS at the Fermi energy = 41.60 states/eV per cell
energy = -3.844 eV/atom
crystal system = monoclinic

Cell: 14.644 7.573 10.315 Å, 90.00 133.70 90.00°
Space group C2/c (No. 15)
Asymmetric unit:
Cs 0.159 0.115 0.252 [8 per cell]
S 0.000 0.421 0.750 [4 per cell]
F 0.000 0.209 0.750 [4 per cell]
F 0.074 0.412 0.970 [8 per cell]
F 0.118 0.154 0.497 [8 per cell]
F 0.143 0.417 0.815 [8 per cell]



Entry 5:
Compound: Cs2SF5
Source: Alexandria
Functional: GGA-PBE
Structure: optimized geometry

Summary:
uncorrected formation energy = -2025 meV/atom
calculated volume = 23.15 A^3/atom
energy = -3.924 eV/atom
crystal system = tetragonal

Cell: 6.334 6.334 9.232 Å, 90.00 90.00 90.00°
Space group I4mm (No. 107)
Asymmetric unit:
Cs 0.000 0.500 0.000 [4 per cell]
S 0.000 0.000 0.242 [2 per cell]
F 0.000 0.000 0.488 [2 per cell]
F 0.206 0.206 0.248 [8 per cell]



Entry 6:
Compound: Cs2SF6
Source: Alexandria
Functional: GGA-PBE
Structure: optimized geometry

Summary:
uncorrected formation energy = -2129 meV/atom
calculated volume = 19.66 A^3/atom
DOS at the Fermi energy = 0.00 states/eV per cell
ΔE to the lowest computed polymorph = 0.39 kcal/mol of atoms
energy = -4.025 eV/atom
crystal system = trigonal

Cell: 6.2503 6.2503 5.2279 Å, 90.00 90.00 120.00°
Space group P-3m1 (No. 164)
Asymmetric unit:
Cs 0.3333 0.6667 0.2075 [2 per cell]
S 0.0000 0.0000 0.5000 [1 per cell]
F 0.1438 0.2876 0.7021 [6 per cell]